1.
This record from Alexandria via LeMat-Bulk describes an optimized crystal structure of Li2WAu. The functional is PBE-GGA.

Cell lengths 2.754, 2.754, 8.338 Å; angles 90.00, 90.00, 90.00 degrees
Atoms (fractional coordinates):
Li1 0.000 0.000 0.000
Li2 0.500 0.500 0.267
W1 0.000 0.000 0.510
Au1 0.500 0.500 0.777

The value obtained for the energy relative to the lowest polymorph listed for this composition is 9.42 kJ per mole of atoms. For the density of states at the Fermi level, the calculation gives 3.1 states/eV/f.u.

=====

2.
This record from Alexandria via LeMat-Bulk describes an optimized crystal structure of La2TbNdY. The functional is PBE-GGA.

Cell lengths 6.521, 7.964, 6.793 Å; angles 90.00, 90.00, 90.00 degrees
Atoms (fractional coordinates):
La1 0.250 0.201 0.206
La2 0.250 0.799 0.206
La3 0.750 0.201 0.794
La4 0.750 0.799 0.794
Tb1 0.250 0.000 0.677
Tb2 0.750 0.000 0.323
Nd1 0.250 0.500 0.914
Nd2 0.750 0.500 0.086
Y1 0.000 0.500 0.500
Y2 0.500 0.500 0.500

For the density of states at the Fermi level, the calculation gives 6.3 states/eV/f.u. For the total energy, the calculation gives -4.917 eV per atom.

=====

3.
This record from Alexandria via LeMat-Bulk describes an optimized crystal structure of AcHoTm. The functional is PBE-GGA.

Cell lengths 3.708, 3.708, 15.262 Å; angles 90.00, 90.00, 90.00 degrees
Atoms (fractional coordinates):
Ac1 0.000 0.000 0.000
Ac2 0.500 0.500 0.500
Ho1 0.000 0.000 0.674
Ho2 0.500 0.500 0.174
Tm1 0.000 0.000 0.327
Tm2 0.500 0.500 0.827

The value obtained for the energy relative to the lowest polymorph listed for this composition is 1.59 kJ per mole of atoms. For the density of states at the Fermi level, the calculation gives 4.1 states/eV/f.u.

=====

4.
This record from Alexandria via LeMat-Bulk describes an optimized crystal structure of MnSi2Tc. The functional is PBE-GGA.

Cell lengths 2.888, 2.888, 5.794 Å; angles 90.00, 90.00, 90.00 degrees
Atoms (fractional coordinates):
Mn1 0.000 0.000 0.000
Si1 0.500 0.500 0.229
Si2 0.500 0.500 0.771
Tc1 0.000 0.000 0.500

The value obtained for the energy relative to the lowest polymorph listed for this composition is 1.00 kJ per mole of atoms. For the density of states at the Fermi level, the calculation gives 3.6 states/eV/f.u. As for the uncorrected formation energy: -354 meV per atom.

=====

5.
This record from Alexandria via LeMat-Bulk describes an optimized crystal structure of Hf5Ga2Ge. The functional is PBE-GGA.

Cell lengths 7.944, 7.944, 7.944 Å; angles 126.83, 126.83, 78.53 degrees
Atoms (fractional coordinates):
Hf1 0.000 0.000 0.000
Hf2 0.006 0.506 0.818
Hf3 0.187 0.006 0.500
Hf4 0.313 0.813 0.818
Hf5 0.494 0.313 0.500
Hf6 0.500 0.500 0.000
Hf7 0.506 0.687 0.500
Hf8 0.687 0.187 0.182
Hf9 0.813 0.994 0.500
Hf10 0.994 0.494 0.182
Ga1 0.136 0.364 0.500
Ga2 0.364 0.864 0.229
Ga3 0.636 0.136 0.771
Ga4 0.864 0.636 0.500
Ge1 0.250 0.250 0.000
Ge2 0.750 0.750 0.000

For the density of states at the Fermi level, the calculation gives 8.1 states/eV/f.u. For the total energy, the calculation gives -8.019 eV per atom.

=====

6.
This record from Alexandria via LeMat-Bulk describes an optimized crystal structure of ZnAg2Mo. The functional is PBE-GGA.

Cell lengths 5.585, 9.922, 2.633 Å; angles 90.00, 114.02, 90.00 degrees
Atoms (fractional coordinates):
Zn1 0.000 0.000 0.000
Zn2 0.500 0.500 0.000
Ag1 0.250 0.250 0.500
Ag2 0.250 0.750 0.500
Ag3 0.750 0.250 0.500
Ag4 0.750 0.750 0.500
Mo1 0.000 0.500 0.000
Mo2 0.500 0.000 0.000

For the density of states at the Fermi level, the calculation gives 2.6 states/eV/f.u. For the total energy, the calculation gives -4.084 eV per atom.

=====

7.
This record from Alexandria via LeMat-Bulk describes an optimized crystal structure of NaTl3Pd6. The functional is PBE-GGA.

Cell lengths 7.017, 7.017, 8.071 Å; angles 90.00, 90.00, 91.19 degrees
Atoms (fractional coordinates):
Na1 0.231 0.769 0.500
Na2 0.769 0.231 0.000
Tl1 0.048 0.298 0.576
Tl2 0.298 0.048 0.076
Tl3 0.461 0.539 0.180
Tl4 0.539 0.461 0.680
Tl5 0.702 0.952 0.576
Tl6 0.952 0.702 0.076
Pd1 0.010 0.990 0.804
Pd2 0.092 0.389 0.239
Pd3 0.162 0.359 0.902
Pd4 0.281 0.719 0.862
Pd5 0.359 0.162 0.402
Pd6 0.389 0.092 0.739
Pd7 0.611 0.908 0.239
Pd8 0.641 0.838 0.902
Pd9 0.719 0.281 0.362
Pd10 0.838 0.641 0.402
Pd11 0.908 0.611 0.739
Pd12 0.990 0.010 0.304

The value obtained for the energy relative to the lowest polymorph listed for this composition is 0.37 kJ per mole of atoms. For the density of states at the Fermi level, the calculation gives 4.4 states/eV/f.u.

=====

8.
This record from Alexandria via LeMat-Bulk describes an optimized crystal structure of MoAuBr2. The functional is PBE-GGA.

Cell lengths 10.005, 3.242, 7.531 Å; angles 90.00, 111.07, 90.00 degrees
Atoms (fractional coordinates):
Mo1 0.000 0.000 0.000
Mo2 0.500 0.500 0.000
Au1 0.275 0.000 0.000
Au2 0.775 0.500 0.000
Br1 0.114 0.500 0.284
Br2 0.461 0.000 0.716
Br3 0.614 0.000 0.284
Br4 0.961 0.500 0.716

The value obtained for the energy relative to the lowest polymorph listed for this composition is 0.92 kJ per mole of atoms. For the density of states at the Fermi level, the calculation gives 4.2 states/eV/f.u. As for the uncorrected formation energy: 93 meV per atom.

=====

9.
This record from Alexandria via LeMat-Bulk describes an optimized crystal structure of Rb2LaRe2N6. The functional is PBE-GGA.

Cell lengths 6.522, 6.522, 7.668 Å; angles 117.57, 117.57, 59.58 degrees
Atoms (fractional coordinates):
Rb1 0.213 0.213 0.183
Rb2 0.787 0.787 0.817
La1 0.000 0.000 0.500
Re1 0.449 0.449 0.795
Re2 0.551 0.551 0.205
N1 0.252 0.715 0.250
N2 0.264 0.264 0.675
N3 0.285 0.748 0.750
N4 0.715 0.252 0.250
N5 0.736 0.736 0.325
N6 0.748 0.285 0.750

For the density of states at the Fermi level, the calculation gives 4.2 states/eV/f.u. As for the uncorrected formation energy: -330 meV per atom.

=====

10.
This record from Alexandria via LeMat-Bulk describes an optimized crystal structure of TbTl3. The functional is PBE-GGA.

Cell lengths 4.774, 4.774, 4.774 Å; angles 90.00, 90.00, 90.00 degrees
Atoms (fractional coordinates):
Tb1 0.000 0.000 0.000
Tl1 0.000 0.500 0.500
Tl2 0.500 0.000 0.500
Tl3 0.500 0.500 0.000

For the density of states at the Fermi level, the calculation gives 1.0 states/eV/f.u. For the total energy, the calculation gives -3.184 eV per atom.

=====

11.
This record from Alexandria via LeMat-Bulk describes an optimized crystal structure of Sc6Pd3Rh. The functional is PBE-GGA.

Cell lengths 6.471, 7.154, 11.055 Å; angles 90.00, 124.55, 90.00 degrees
Atoms (fractional coordinates):
Sc1 0.064 0.054 0.248
Sc2 0.064 0.446 0.748
Sc3 0.208 0.675 0.064
Sc4 0.208 0.825 0.564
Sc5 0.409 0.165 0.063
Sc6 0.409 0.335 0.563
Sc7 0.591 0.665 0.437
Sc8 0.591 0.835 0.937
Sc9 0.792 0.175 0.436
Sc10 0.792 0.325 0.936
Sc11 0.936 0.554 0.252
Sc12 0.936 0.946 0.752
Pd1 0.310 0.128 0.749
Pd2 0.310 0.372 0.249
Pd3 0.500 0.000 0.500
Pd4 0.500 0.500 0.000
Pd5 0.690 0.628 0.751
Pd6 0.690 0.872 0.251
Rh1 0.000 0.000 0.000
Rh2 0.000 0.500 0.500

For the density of states at the Fermi level, the calculation gives 7.2 states/eV/f.u. For the total energy, the calculation gives -6.698 eV per atom.

=====

12.
This record from Alexandria via LeMat-Bulk describes an optimized crystal structure of SrAc3Pd8. The functional is PBE-GGA.

Cell lengths 9.804, 9.804, 9.804 Å; angles 33.62, 33.62, 33.62 degrees
Atoms (fractional coordinates):
Sr1 0.000 0.000 0.000
Ac1 0.370 0.370 0.370
Ac2 0.497 0.497 0.497
Ac3 0.876 0.876 0.876
Pd1 0.186 0.186 0.186
Pd2 0.436 0.436 0.934
Pd3 0.436 0.934 0.436
Pd4 0.438 0.936 0.936
Pd5 0.686 0.686 0.686
Pd6 0.934 0.436 0.436
Pd7 0.936 0.438 0.936
Pd8 0.936 0.936 0.438

For the density of states at the Fermi level, the calculation gives 6.6 states/eV/f.u. For the total energy, the calculation gives -5.366 eV per atom.